CrTe2IrC | SCAN | PBEsol geometry

The uncorrected formation energy is 1079.3 meV/atom.

The space group is P4/mmm (No. 123) and the conventional cell measures 5.0137, 5.0137 and 3.5246 Å, with angles of 90.00, 90.00 and 90.00 degrees. Symmetry generates all atoms from Cr at (0.0000, 0.0000, 0.0000), Te at (0.0000, 0.5000, 0.0000), Ir at (0.5000, 0.5000, 0.5000) and C at (0.0000, 0.0000, 0.5000).

***

MgCdBi2S | SCAN | PBEsol geometry

The uncorrected formation energy is 685.6 meV/atom.

The space group is P4/mmm (No. 123) and the conventional cell measures 5.4255, 5.4255 and 5.0573 Å, with angles of 90.00, 90.00 and 90.00 degrees. Symmetry generates all atoms from Mg at (0.0000, 0.0000, 0.0000), Cd at (0.0000, 0.0000, 0.5000), Bi at (0.0000, 0.5000, 0.0000) and S at (0.5000, 0.5000, 0.5000).

***

ScCoSi2 | SCAN | PBEsol geometry

The uncorrected formation energy is -275.8 meV/atom.

The space group is P4/mmm (No. 123) and the conventional cell measures 3.7503, 3.7503 and 3.7953 Å, with angles of 90.00, 90.00 and 90.00 degrees. Symmetry generates all atoms from Sc at (0.0000, 0.0000, 0.0000), Co at (0.5000, 0.5000, 0.0000) and Si at (0.0000, 0.5000, 0.5000).

***

BaSnPbW2 | SCAN | PBEsol geometry

The value obtained for the formation energy from the elements is 3.227 eV per atom.

The space group is P4/mmm (No. 123) and the conventional cell measures 5.1149, 5.1149 and 5.8318 Å, with angles of 90.00, 90.00 and 90.00 degrees. Symmetry generates all atoms from Ba at (0.0000, 0.0000, 0.0000), Sn at (0.5000, 0.5000, 0.5000), Pb at (0.0000, 0.0000, 0.5000) and W at (0.0000, 0.5000, 0.0000).

***

Cr2BiN | SCAN | PBEsol geometry

The uncorrected formation energy is 1045.7 meV/atom.

The space group is Fm-3m (No. 225) and the conventional cell measures 6.2823, 6.2823 and 6.2823 Å, with angles of 90.00, 90.00 and 90.00 degrees. Symmetry generates all atoms from Cr at (0.2500, 0.2500, 0.2500), Bi at (0.0000, 0.0000, 0.0000) and N at (0.0000, 0.0000, 0.5000).

***

CrCuHg2 | SCAN | PBEsol geometry

The value obtained for the formation energy from the elements is 0.325 eV per atom. The excess energy over the best structure of this formula in the dataset comes out at 0.1600 eV/atom.

The space group is R3m (No. 160, hexagonal axes) and the conventional cell measures 3.0429, 3.0429 and 26.5112 Å, with angles of 90.00, 90.00 and 120.00 degrees. Symmetry generates all atoms from Cr at (0.0000, 0.0000, 0.0000), Cu at (0.0000, 0.0000, 0.7361), Hg at (0.0000, 0.0000, 0.2488) and Hg at (0.0000, 0.0000, 0.4824).

***

| no. | DFT total energy (eV per atom) |
| --- | --- |
| 1 | -33.74 |
| 2 | -39.75 |
| 3 | -13.17 |
| 4 | -54.90 |
| 5 | -30.11 |
| 6 | -42.15 |